Crystalline TlTeMoO6 at its relaxed geometry, computed with GGA+U.

Lattice parameters (Å, degrees): 5.3898 5.3899 6.1904 90.00 90.00 60.00
Fractional coordinates of all 9 atoms:
O 0.5933 0.4016 0.6821
Te 0.3333 0.3333 0.5000
Tl 0.0000 0.0000 0.0000
O 0.4016 0.0050 0.6821
Mo 0.6666 0.6667 0.5000
O 0.4016 0.5934 0.3179
O 0.5933 0.0050 0.3179
O 0.0050 0.4016 0.3179
O 0.0050 0.5934 0.6821

Results
**Symmetry**: P312, No. 149
**Magnetic moment**: 1.0 μB per formula unit
**Energy**: -5.938 eV per atom